The following is a PBE calculation of Ho3InHg4 after structural relaxation, from Alexandria via LeMat-Bulk.

Cell lengths 3.5816, 9.3916, 12.6104 Å; angles 90.00, 90.00, 90.00 degrees
Space group Immm (No. 71)
Inequivalent atoms, fractional coordinates:
Ho 0.0000 0.0000 0.0000
Ho 0.0000 0.5000 0.2078
In 0.0000 0.0000 0.5000
Hg 0.0000 0.2697 0.3708

Properties
Energy above the most stable polymorph in this dataset = 0.118 eV per atom
E = -40.3 eV/cell